[1]
## Sc2ZnReP (PBE)

Data for a relaxed Sc2ZnReP crystal.

Structure (extended XYZ):
```
5
Lattice="-1.736 3.117 3.416 -2.216 -3.031 1.639 3.774 -1.153 2.970" Properties=species:S:1:pos:R:3 pbc="T T T"
P -1.108 -1.515 0.820
Sc 1.887 -0.576 1.485
Sc -0.868 1.558 1.708
Zn 0.000 0.000 0.000
Re -0.089 -0.533 4.013
```

Values from the calculation:
The calculated formation energy comes out at 88.6 kJ/mol of atoms.

***

[2]
## RePSe2 (PBE)

Data for a relaxed RePSe2 crystal.

Structure (extended XYZ):
```
4
Lattice="-2.832 0.405 -1.120 1.142 -2.421 -3.761 -1.363 -3.840 2.059" Properties=species:S:1:pos:R:3 pbc="T T T"
Re -0.111 -3.131 -0.851
P -0.845 -1.008 -2.441
Se -2.098 -1.718 0.469
Se 0.000 0.000 0.000
```

Values from the calculation:
The value obtained for the energy relative to the elements, uncorrected is 0.91 eV/atom.

***

[3]
## RePSe2 (PBE)

Data for a relaxed RePSe2 crystal.

Structure (extended XYZ):
```
4
Lattice="2.592 0.000 0.000 0.000 4.249 0.000 0.000 0.000 6.629" Properties=species:S:1:pos:R:3 pbc="T T T"
Se 0.000 0.000 1.540
Se 0.000 0.000 5.088
P 0.000 2.125 3.314
Re 0.000 2.125 0.000
```

Values from the calculation:
The value obtained for the energy relative to the elements, uncorrected is 0.64 eV/atom.

***

[4]
## RePSe2 (PBE)

Data for a relaxed RePSe2 crystal.

Structure (extended XYZ):
```
4
Lattice="-3.990 1.224 1.144 -0.993 -1.401 -1.965 -0.921 -6.384 3.617" Properties=species:S:1:pos:R:3 pbc="T T T"
P -1.381 -4.272 -0.245
Se -0.189 -0.650 0.035
Se -3.483 -4.850 1.225
Re -2.305 -1.382 1.625
```

Values from the calculation:
The value obtained for the energy relative to the elements, uncorrected is 0.36 eV/atom.

***

[5]
## RePSe3 (PBE)

Data for a relaxed RePSe3 crystal.

Structure (extended XYZ):
```
5
Lattice="-1.006 2.786 -3.830 -4.594 -1.526 0.097 -1.151 3.655 2.960" Properties=species:S:1:pos:R:3 pbc="T T T"
Se -0.503 1.393 -1.915
Se -2.297 -0.763 0.049
Se -0.575 1.827 1.480
P -3.376 2.457 -0.386
Re 0.000 0.000 0.000
```

Values from the calculation:
The value obtained for the energy relative to the elements, uncorrected is 0.87 eV/atom.

***

[6]
## ReP2Se2 (PBE)

Data for a relaxed ReP2Se2 crystal.

Structure (extended XYZ):
```
5
Lattice="-0.287 3.371 4.115 -0.617 4.376 -2.976 -3.106 -4.304 -0.465" Properties=species:S:1:pos:R:3 pbc="T T T"
Se -0.621 5.322 0.783
Se -0.283 2.425 0.357
P -1.922 1.470 2.110
P -2.087 1.973 -1.436
Re 0.000 0.000 0.000
```

Values from the calculation:
The value obtained for the energy relative to the elements, uncorrected is 1.08 eV/atom.

***

[7]
## RePSe2 (PBE)

Data for a relaxed RePSe2 crystal.

Structure (extended XYZ):
```
4
Lattice="-2.112 2.112 3.603 2.112 -2.112 3.603 2.112 2.112 -3.603" Properties=species:S:1:pos:R:3 pbc="T T T"
Re 0.000 2.112 1.801
Se 2.112 0.000 1.801
Se 0.000 0.000 0.000
P 0.000 0.000 3.603
```

Values from the calculation:
The value obtained for the energy relative to the elements, uncorrected is 0.78 eV/atom.

***

[8]
## RePSe (PBE)

Data for a relaxed RePSe crystal.

Structure (extended XYZ):
```
3
Lattice="-1.488 1.488 6.046 1.488 -1.488 6.046 1.488 1.488 -6.046" Properties=species:S:1:pos:R:3 pbc="T T T"
P 0.000 0.000 11.571
Re 0.000 0.000 4.090
Se 0.000 0.000 8.522
```

Values from the calculation:
The value obtained for the energy relative to the elements, uncorrected is 0.08 eV/atom.

***

[9]
## ReP2Se6 (PBE)

Data for a relaxed ReP2Se6 crystal.

Structure (extended XYZ):
```
18
Lattice="-1.959 -1.905 5.514 4.088 -8.139 0.110 7.845 0.852 4.551" Properties=species:S:1:pos:R:3 pbc="T T T"
Se 7.711 -2.900 5.918
Se 6.657 -2.075 9.137
Se 5.153 -0.766 3.759
Se 3.521 -3.384 5.733
Se 4.821 -8.427 6.416
Se 2.263 -6.292 4.257
Se 3.317 -7.117 1.038
Se 3.960 -3.727 2.336
Se 5.411 -0.711 7.430
Se 6.453 -5.808 4.442
Se 6.014 -5.466 7.839
Se 4.563 -8.481 2.745
Re 6.892 -0.732 5.383
Re 3.082 -8.461 4.792
P 3.177 -2.133 3.854
P 8.423 -4.559 4.328
P 1.550 -4.634 5.847
P 6.797 -7.059 6.320
```

Values from the calculation:
The value obtained for the energy relative to the elements, uncorrected is 0.05 eV/atom.

***

[10]
## RePSe2 (PBE)

Data for a relaxed RePSe2 crystal.

Structure (extended XYZ):
```
4
Lattice="-7.343 -4.569 0.211 -5.380 -6.704 -0.971 -5.554 -6.282 2.127" Properties=species:S:1:pos:R:3 pbc="T T T"
P -9.139 -8.778 0.683
Se -13.492 -12.960 1.009
Se -4.785 -4.596 0.358
Re 0.000 0.000 0.000
```

Values from the calculation:
The value obtained for the energy relative to the elements, uncorrected is 0.41 eV/atom.

***

[11]
## RePSe (PBE)

Data for a relaxed RePSe crystal.

Structure (extended XYZ):
```
3
Lattice="-2.316 -0.058 3.455 -3.938 -1.329 -0.158 -1.042 -3.629 1.745" Properties=species:S:1:pos:R:3 pbc="T T T"
Se -3.648 -2.508 2.521
P -5.472 -3.762 3.781
Re 0.000 0.000 0.000
```

Values from the calculation:
The value obtained for the energy relative to the elements, uncorrected is 0.84 eV/atom.

***

[12]
## ReP4Se (PBE)

Data for a relaxed ReP4Se crystal.

Structure (extended XYZ):
```
6
Lattice="-1.842 -3.882 2.627 -4.907 -0.182 1.117 -2.972 -3.382 -2.255" Properties=species:S:1:pos:R:3 pbc="T T T"
Re -7.291 -5.584 1.116
Se 0.000 0.000 0.000
P -4.561 -4.753 1.894
P -5.137 -4.499 -0.596
P -6.124 -2.866 1.124
P -3.621 -2.774 0.554
```

Values from the calculation:
The value obtained for the energy relative to the elements, uncorrected is 1.13 eV/atom.

***

[13]
## RePSe2 (PBE)

Data for a relaxed RePSe2 crystal.

Structure (extended XYZ):
```
4
Lattice="-2.764 -4.913 1.844 3.737 0.645 -4.560 2.338 -2.286 0.390" Properties=species:S:1:pos:R:3 pbc="T T T"
Re 1.169 -1.143 0.195
Se 1.868 0.322 -2.280
Se -1.382 -2.456 0.922
P 1.655 -3.277 -1.163
```

Values from the calculation:
The value obtained for the energy relative to the elements, uncorrected is 0.75 eV/atom.

***

[14]
## ReP3Se (PBE)

Data for a relaxed ReP3Se crystal.

Structure (extended XYZ):
```
5
Lattice="-0.513 4.285 1.552 -4.255 0.108 -1.706 -1.630 -1.631 3.964" Properties=species:S:1:pos:R:3 pbc="T T T"
Re -3.199 1.381 1.905
P -0.815 -0.815 1.982
P -2.128 0.054 -0.853
P -0.256 2.142 0.776
Se 0.000 0.000 0.000
```

Values from the calculation:
The value obtained for the energy relative to the elements, uncorrected is 1.77 eV/atom.

***

[15]
## RePSe2 (PBE)

Data for a relaxed RePSe2 crystal.

Structure (extended XYZ):
```
4
Lattice="-2.624 -2.949 1.861 -0.922 -1.241 4.081 -4.292 3.262 0.784" Properties=species:S:1:pos:R:3 pbc="T T T"
Se -4.098 1.155 2.255
Se -3.740 -2.083 4.471
P -1.773 -2.095 2.971
Re -2.146 1.631 0.392
```

Values from the calculation:
The value obtained for the energy relative to the elements, uncorrected is 0.59 eV/atom.

***

[16]
## RePSe3 (PBE)

Data for a relaxed RePSe3 crystal.

Structure (extended XYZ):
```
5
Lattice="-1.688 -2.402 3.571 -1.998 -2.960 -2.935 3.811 -2.615 0.042" Properties=species:S:1:pos:R:3 pbc="T T T"
Re 0.063 -3.988 0.339
Se -0.999 -1.480 -1.468
Se 1.906 -1.308 0.021
Se -0.844 -1.201 1.785
P 0.000 0.000 0.000
```

Values from the calculation:
The value obtained for the energy relative to the elements, uncorrected is 1.39 eV/atom.

***

[17]
## RePSe (PBE)

Data for a relaxed RePSe crystal.

Structure (extended XYZ):
```
12
Lattice="-3.107 -5.010 1.526 2.137 0.423 5.740 -5.362 2.959 -1.202" Properties=species:S:1:pos:R:3 pbc="T T T"
Re -1.143 -2.245 2.374
Re -5.469 -3.169 2.432
Re -6.722 -1.857 4.443
Re -2.332 -0.828 4.354
Se -4.316 -2.400 4.511
Se -2.987 -4.015 2.120
Se -4.152 1.084 4.341
Se -2.771 -0.446 1.924
P -0.971 -2.701 4.675
P -4.669 2.188 1.049
P -4.946 -1.269 1.083
P -0.642 0.839 4.616
```

Values from the calculation:
The value obtained for the energy relative to the elements, uncorrected is -0.23 eV/atom.

***

[18]
## Re2PSe2 (PBE)

Data for a relaxed Re2PSe2 crystal.

Structure (extended XYZ):
```
5
Lattice="-1.298 -3.745 -1.760 3.822 -1.792 0.995 -0.539 -4.192 3.974" Properties=species:S:1:pos:R:3 pbc="T T T"
Re 2.273 -4.376 2.293
Re -0.287 -5.353 0.915
Se 0.777 -3.152 0.790
Se 1.208 -6.578 2.418
P 0.000 0.000 0.000
```

Values from the calculation:
The value obtained for the energy relative to the elements, uncorrected is 0.81 eV/atom.

***

[19]
## RePSe4 (PBE)

Data for a relaxed RePSe4 crystal.

Structure (extended XYZ):
```
6
Lattice="-0.105 3.151 4.575 0.076 5.539 -0.439 -4.544 2.948 1.239" Properties=species:S:1:pos:R:3 pbc="T T T"
P -3.430 8.728 4.031
Se -1.708 4.346 2.007
Se -1.670 7.150 1.785
Se -1.762 5.941 4.323
Se -4.008 5.838 2.635
Re 0.000 0.000 0.000
```

Values from the calculation:
The value obtained for the energy relative to the elements, uncorrected is 1.51 eV/atom.

***

[20]
## Re3PSe (PBE)

Data for a relaxed Re3PSe crystal.

Structure (extended XYZ):
```
5
Lattice="4.428 0.000 0.000 0.000 4.428 0.000 0.000 0.000 4.428" Properties=species:S:1:pos:R:3 pbc="T T T"
Re 2.214 0.000 0.000
Re 0.000 2.214 0.000
Re 0.000 0.000 2.214
Se 2.214 2.214 2.214
P 0.000 0.000 0.000
```

Values from the calculation:
The value obtained for the energy relative to the elements, uncorrected is 1.22 eV/atom.

***

| no. | raw total energy (eV/atom) |
| --- | --- |
| 1 | -5.441 |
| 2 | -5.296 |
| 3 | -5.563 |
| 4 | -5.852 |
| 5 | -4.788 |
| 6 | -4.969 |
| 7 | -5.431 |
| 8 | -7.034 |
| 9 | -4.861 |
| 10 | -5.800 |
| 11 | -6.275 |
| 12 | -5.131 |
| 13 | -5.456 |
| 14 | -4.661 |
| 15 | -5.620 |
| 16 | -4.276 |
| 17 | -7.344 |
| 18 | -6.648 |
| 19 | -3.789 |
| 20 | -8.028 |